A plane-wave DFT calculation with PBEsol was carried out for YFe2AgCl after structural relaxation.

Output
DFT total energy = -4.850 eV per atom
total moment = 4.6 Bohr magnetons per cell

Unit cell a=4.8034 b=4.8034 c=4.9937 alpha=90.00 beta=90.00 gamma=90.00
Space group P4/mmm (No. 123)
Unique sites:
Y 0.0000 0.0000 0.0000 x1
Fe 0.0000 0.5000 0.0000 x2
Ag 0.5000 0.5000 0.5000 x1
Cl 0.0000 0.0000 0.5000 x1

***

A plane-wave DFT calculation with PBEsol was carried out for K2GaAgCl6 after structural relaxation.

Output
DFT total energy = -3.393 eV per atom
total moment = 0.0 Bohr magnetons per cell

Unit cell a=9.9766 b=9.9766 c=9.9766 alpha=90.00 beta=90.00 gamma=90.00
Space group Fm-3m (No. 225)
Unique sites:
K 0.2500 0.2500 0.2500 x8
Ga 0.0000 0.0000 0.0000 x4
Ag 0.0000 0.0000 0.5000 x4
Cl 0.0000 0.0000 0.2376 x24

***

A plane-wave DFT calculation with PBEsol was carried out for Rb2GdAgCl6 after structural relaxation.

Output
DFT total energy = -4.970 eV per atom
total moment = 27.8 Bohr magnetons per cell

Unit cell a=10.5453 b=10.5453 c=10.5453 alpha=90.00 beta=90.00 gamma=90.00
Space group Fm-3m (No. 225)
Unique sites:
Rb 0.2500 0.2500 0.2500 x8
Gd 0.0000 0.0000 0.0000 x4
Ag 0.0000 0.0000 0.5000 x4
Cl 0.0000 0.0000 0.2488 x24

***

A plane-wave DFT calculation with PBEsol was carried out for Ag2GeHCl after structural relaxation.

Output
DFT total energy = -2.963 eV per atom
total moment = 0.0 Bohr magnetons per cell

Unit cell a=5.2827 b=5.2827 c=2.9522 alpha=90.00 beta=90.00 gamma=90.00
Space group P4/mmm (No. 123)
Unique sites:
Ag 0.0000 0.5000 0.0000 x2
Ge 0.0000 0.0000 0.5000 x1
H 0.5000 0.5000 0.5000 x1
Cl 0.5000 0.5000 0.0000 x1

***

A plane-wave DFT calculation with PBEsol was carried out for AgGeP2Cl after structural relaxation.

Output
DFT total energy = -3.625 eV per atom
total moment = 1.1 Bohr magnetons per cell

Unit cell a=4.6890 b=4.6890 c=4.8437 alpha=90.00 beta=90.00 gamma=90.00
Space group P4/mmm (No. 123)
Unique sites:
Ag 0.0000 0.0000 0.0000 x1
Ge 0.5000 0.5000 0.5000 x1
P 0.0000 0.5000 0.5000 x2
Cl 0.5000 0.5000 0.0000 x1

***

A plane-wave DFT calculation with PBEsol was carried out for AgGeP2Cl after structural relaxation.

Output
DFT total energy = -3.484 eV per atom
total moment = 0.7 Bohr magnetons per cell

Unit cell a=4.7189 b=4.7189 c=4.9213 alpha=90.00 beta=90.00 gamma=90.00
Space group P4/mmm (No. 123)
Unique sites:
Ag 0.0000 0.0000 0.0000 x1
Ge 0.5000 0.5000 0.5000 x1
P 0.0000 0.5000 0.0000 x2
Cl 0.0000 0.0000 0.5000 x1